Entry 1:
Computed, not measured: a relaxed structure of Mn2SbRh at the PBE level of DFT.

Summary:
As for the calculated total energy: -59.42 eV for the cell shown. Its raw formation energy is 0.026 eV/atom. The total magnetization is 13.8 μB per cell. The density of states at the Fermi level is 0.9150 states/eV per atom.

a = 5.390 Å, b = 7.439 Å, c = 3.154 Å
α = 90.00°, β = 90.00°, γ = 90.00°
Element x y z (fractional)
Mn 0.250 0.250 0.000
Mn 0.250 0.750 0.000
Mn 0.750 0.250 0.000
Mn 0.750 0.750 0.000
Sb 0.000 0.000 0.500
Sb 0.500 0.500 0.500
Rh 0.000 0.500 0.500
Rh 0.500 0.000 0.500

***

Entry 2:
Computed, not measured: a relaxed structure of PaAlPt at the PBE level of DFT.

Summary:
As for the calculated total energy: -82.33 eV for the cell shown. The value obtained for the formation energy is -1.3 eV per formula unit. The total magnetization is 0.0 μB per cell. The density of states at the Fermi level is 1.0640 states/eV per atom.

a = 2.921 Å, b = 18.364 Å, c = 4.142 Å
α = 90.00°, β = 90.00°, γ = 90.00°
Element x y z (fractional)
Pa 0.000 0.208 0.250
Pa 0.000 0.792 0.750
Pa 0.500 0.292 0.750
Pa 0.500 0.708 0.250
Al 0.000 0.045 0.250
Al 0.000 0.955 0.750
Al 0.500 0.455 0.750
Al 0.500 0.545 0.250
Pt 0.000 0.414 0.250
Pt 0.000 0.586 0.750
Pt 0.500 0.086 0.750
Pt 0.500 0.914 0.250

***

Entry 3:
Computed, not measured: a relaxed structure of MgAsP2N at the PBE level of DFT.

Summary:
As for the calculated total energy: -19.02 eV for the cell shown. Its raw formation energy is 1.275 eV/atom. The total magnetization is 0.0 μB per cell. The density of states at the Fermi level is 0.7474 states/eV per atom.

a = 4.897 Å, b = 4.897 Å, c = 3.771 Å
α = 90.00°, β = 90.00°, γ = 90.00°
Element x y z (fractional)
Mg 0.000 0.000 0.000
As 0.500 0.500 0.500
P 0.000 0.500 0.000
P 0.500 0.000 0.000
N 0.000 0.000 0.500

***

Entry 4:
Computed, not measured: a relaxed structure of HoThPt2 at the PBE level of DFT.

Summary:
As for the calculated total energy: -57.43 eV for the cell shown. The value obtained for the formation energy is -4.6 eV per formula unit. The total magnetization is 0.0 μB per cell. The density of states at the Fermi level is 0.6435 states/eV per atom.

a = 5.985 Å, b = 4.717 Å, c = 7.211 Å
α = 90.00°, β = 113.86°, γ = 90.00°
Element x y z (fractional)
Ho 0.104 0.250 0.395
Ho 0.896 0.750 0.605
Th 0.343 0.750 0.131
Th 0.657 0.250 0.869
Pt 0.146 0.250 0.834
Pt 0.399 0.750 0.577
Pt 0.601 0.250 0.423
Pt 0.854 0.750 0.166

***

Entry 5:
Computed, not measured: a relaxed structure of SrLi2Mn at the PBE level of DFT.

Summary:
As for the calculated total energy: -39.63 eV for the cell shown. The value obtained for the formation energy is 1.5 eV per formula unit. The total magnetization is 11.1 μB per cell. The density of states at the Fermi level is 0.9280 states/eV per atom.

a = 4.789 Å, b = 4.789 Å, c = 15.982 Å
α = 90.00°, β = 90.00°, γ = 120.00°
Element x y z (fractional)
Sr 0.000 0.000 0.000
Sr 0.333 0.667 0.667
Sr 0.667 0.333 0.333
Li 0.000 0.000 0.205
Li 0.000 0.000 0.795
Li 0.333 0.667 0.462
Li 0.333 0.667 0.872
Li 0.667 0.333 0.128
Li 0.667 0.333 0.538
Mn 0.000 0.000 0.500
Mn 0.333 0.667 0.167
Mn 0.667 0.333 0.833

***

Entry 6:
Computed, not measured: a relaxed structure of BAsP2O at the PBE level of DFT.

Summary:
As for the calculated total energy: -26.10 eV for the cell shown. Its raw formation energy is 0.200 eV/atom. The total magnetization is 0.0 μB per cell. The density of states at the Fermi level is 0.5478 states/eV per atom.

a = 5.079 Å, b = 5.079 Å, c = 2.697 Å
α = 90.00°, β = 90.00°, γ = 90.00°
Element x y z (fractional)
B 0.000 0.000 0.000
As 0.500 0.500 0.500
P 0.000 0.500 0.000
P 0.500 0.000 0.000
O 0.000 0.000 0.500

***

Number 1: calculated density 8.784 g/cm3. Number 2: calculated density 13.547 g/cm3. Number 3: calculated density 3.217 g/cm3. Number 4: calculated density 14.041 g/cm3. Number 5: calculated density 2.455 g/cm3. Number 6: calculated density 3.906 g/cm3.